Below is a relaxed Nd2PbAu crystal, with properties calculated at the GGA-PBE level.

```
Nd2PbAu
1.0
6.3873 0.0000 0.0000
0.0000 4.6913 0.0000
-3.0372 0.0000 7.8534
Nd Pb Au
4 2 2
Direct
0.2059 0.2500 0.4391 Nd
0.2289 0.2500 0.9160 Nd
0.7711 0.7500 0.0840 Nd
0.7941 0.7500 0.5609 Nd
0.3184 0.7500 0.2066 Pb
0.6816 0.2500 0.7934 Pb
0.3282 0.7500 0.7020 Au
0.6718 0.2500 0.2980 Au
```

## Properties
Its symmetry is P2_1/m (11). The calculated total energy comes out at -4.77 eV/atom. The energy of formation from the pure elements is -643 meV/atom.



Below is a relaxed K2Na3Bi2 crystal, with properties calculated at the GGA-PBE level.

```
K2Na3Bi2
1.0
12.7897 0.0000 0.0000
0.0000 5.3963 0.0000
-3.2761 0.0000 7.8559
K Na Bi
4 6 4
Direct
0.1600 0.0000 0.2929 K
0.3400 0.5000 0.7071 K
0.6600 0.5000 0.2929 K
0.8400 0.0000 0.7071 K
0.0000 0.5000 0.5000 Na
0.1441 0.5000 0.9348 Na
0.3559 0.0000 0.0652 Na
0.5000 0.0000 0.5000 Na
0.6441 0.0000 0.9348 Na
0.8559 0.5000 0.0652 Na
0.1265 0.0000 0.7160 Bi
0.3735 0.5000 0.2840 Bi
0.6265 0.5000 0.7160 Bi
0.8735 0.0000 0.2840 Bi
```

## Properties
Its symmetry is C2/m (12). The calculated total energy comes out at -2.31 eV/atom. The energy of formation from the pure elements is -319 meV/atom.



Below is a relaxed Ba8Hg2Pt crystal, with properties calculated at the GGA-PBE level.

```
Ba8Hg2Pt
1.0
7.2472 -5.2788 0.0000
7.2472 5.2788 0.0000
-2.5816 0.0000 7.5556
Ba Hg Pt
8 2 1
Direct
0.0783 0.0783 0.2774 Ba
0.1555 0.5590 0.2618 Ba
0.3711 0.3711 0.7513 Ba
0.4410 0.8445 0.7382 Ba
0.5590 0.1555 0.2618 Ba
0.6289 0.6289 0.2487 Ba
0.8445 0.4410 0.7382 Ba
0.9217 0.9217 0.7226 Ba
0.1829 0.1829 0.9455 Hg
0.8171 0.8171 0.0545 Hg
0.5000 0.5000 0.5000 Pt
```

## Properties
Its symmetry is C2/m (12). The calculated total energy comes out at -2.35 eV/atom. The energy of formation from the pure elements is -343 meV/atom.